# 1
Ba2ZnAgSn: relaxed, GGA-PBE. Values from VASP.

## Properties
Formation energy from the elements, meV per atom: -90.1
M_tot, μB/atom: 0.0000

Cell and atoms, written as Quantum ESPRESSO input:
```
&SYSTEM
  ibrav = 0, nat = 5, ntyp = 4
/
ATOMIC_SPECIES
Ag 107.87 Ag.upf
Ba 137.33 Ba.upf
Sn 118.71 Sn.upf
Zn 65.41 Zn.upf
ATOMIC_POSITIONS crystal
Ag 0.5000 0.5000 0.5000
Ba 0.0000 0.0000 0.5000
Ba 0.5000 0.0000 0.0000
Sn 0.0000 0.5000 0.0000
Zn 0.0000 0.0000 0.0000
CELL_PARAMETERS angstrom
6.4025 0.0000 0.0000
0.0000 4.8849 0.0000
0.0000 0.0000 6.4025
```


# 2
BaZrAgSn2: relaxed, GGA-PBE. Values from VASP.

## Properties
Formation energy from the elements, meV per atom: 421.4
M_tot, μB/atom: 0.0060

Cell and atoms, written as Quantum ESPRESSO input:
```
&SYSTEM
  ibrav = 0, nat = 5, ntyp = 4
/
ATOMIC_SPECIES
Sn 118.71 Sn.upf
Zr 91.22 Zr.upf
Ag 107.87 Ag.upf
Ba 137.33 Ba.upf
ATOMIC_POSITIONS crystal
Sn 0.0000 0.0000 0.5000
Zr 0.0000 0.0000 0.0000
Ag 0.5000 0.5000 0.5000
Ba 0.0000 0.5000 0.0000
Sn 0.5000 0.0000 0.0000
CELL_PARAMETERS angstrom
5.5847 0.0000 0.0000
0.0000 6.0187 0.0000
0.0000 0.0000 5.5847
```


# 3
Ba4SrAg: relaxed, GGA-PBE. Values from VASP.

## Properties
Formation energy from the elements, meV per atom: -45.1
Polymorph energy (0 for the lowest one), meV/atom: 0
M_tot, μB/atom: 0.0000

Cell and atoms, written as Quantum ESPRESSO input:
```
&SYSTEM
  ibrav = 0, nat = 12, ntyp = 3
/
ATOMIC_SPECIES
Ag 107.87 Ag.upf
Ba 137.33 Ba.upf
Sr 87.62 Sr.upf
ATOMIC_POSITIONS crystal
Ag 0.8693 0.7500 0.0406
Ba 0.6224 0.2500 0.0506
Sr 0.2725 0.7500 0.5675
Ba 0.8397 0.9871 0.7754
Ag 0.1307 0.2500 0.9594
Ba 0.7079 0.7500 0.3343
Ba 0.3776 0.7500 0.9494
Ba 0.2921 0.2500 0.6657
Sr 0.7275 0.2500 0.4325
Ba 0.1603 0.4871 0.2246
Ba 0.1603 0.0129 0.2246
Ba 0.8397 0.5129 0.7754
CELL_PARAMETERS angstrom
6.9472 0.0000 -1.4251
0.0000 8.5923 0.0000
0.0770 0.0000 10.8784
```


# 4
Ba4SrAg2: relaxed, GGA-PBE. Values from VASP.

## Properties
Formation energy from the elements, meV per atom: -106.3
M_tot, μB/atom: 0.0609

Cell and atoms, written as Quantum ESPRESSO input:
```
&SYSTEM
  ibrav = 0, nat = 14, ntyp = 3
/
ATOMIC_SPECIES
Sr 87.62 Sr.upf
Ag 107.87 Ag.upf
Ba 137.33 Ba.upf
ATOMIC_POSITIONS crystal
Sr 0.7500 0.2101 0.9627
Ag 0.2500 0.3361 0.9677
Ba 0.2500 0.0023 0.6686
Ag 0.7500 0.6639 0.0323
Ba 0.0007 0.5680 0.2825
Ba 0.7500 0.9977 0.3314
Ba 0.2500 0.2019 0.2452
Ba 0.9993 0.4320 0.7175
Ag 0.7500 0.3338 0.3642
Ba 0.7500 0.7981 0.7548
Ag 0.2500 0.6662 0.6358
Sr 0.2500 0.7899 0.0373
Ba 0.4993 0.5680 0.2825
Ba 0.5007 0.4320 0.7175
CELL_PARAMETERS angstrom
-7.2028 -2.8179 -1.0155
3.7414 -6.8253 -7.5977
0.1599 -3.3184 8.0745
```


# 5
Ba7Sr2Ag2: relaxed, GGA-PBE. Values from VASP.

## Properties
Formation energy from the elements, meV per atom: -63.5
M_tot, μB/atom: 0.0002

Cell and atoms, written as Quantum ESPRESSO input:
```
&SYSTEM
  ibrav = 0, nat = 11, ntyp = 3
/
ATOMIC_SPECIES
Ba 137.33 Ba.upf
Ag 107.87 Ag.upf
Sr 87.62 Sr.upf
ATOMIC_POSITIONS crystal
Ba 0.8445 0.1070 0.6890
Ag 0.2742 0.8692 0.5484
Ag 0.7258 0.3208 0.4516
Ba 0.6595 0.7482 0.3191
Ba 0.1555 0.4180 0.3110
Ba 0.3405 0.4291 0.6809
Ba 0.5000 0.0410 0.0000
Sr 0.5000 0.4035 0.0000
Ba 0.8246 0.7249 0.6492
Sr 0.0000 0.7164 0.0000
Ba 0.1754 0.0757 0.3508
CELL_PARAMETERS angstrom
-2.0447 -3.4585 1.9893
-4.2087 -3.6844 -10.7313
12.0995 -2.5488 2.9533
```


# 6
Ba3SrAg: relaxed, GGA-PBE. Values from VASP.

## Properties
Formation energy from the elements, meV per atom: -106.9
Polymorph energy (0 for the lowest one), meV/atom: 0
M_tot, μB/atom: 0.0003

Cell and atoms, written as Quantum ESPRESSO input:
```
&SYSTEM
  ibrav = 0, nat = 10, ntyp = 3
/
ATOMIC_SPECIES
Sr 87.62 Sr.upf
Ba 137.33 Ba.upf
Ag 107.87 Ag.upf
ATOMIC_POSITIONS crystal
Sr 0.1174 0.4803 0.2850
Sr 0.2311 0.5321 0.0057
Ba 0.0981 0.1855 0.6184
Ag 0.7748 0.3053 0.1451
Ba 0.7840 0.0491 0.3828
Ba 0.4300 0.6232 0.5168
Ba 0.9800 0.1317 0.9083
Ba 0.4558 0.9370 0.1514
Ag 0.4300 0.3739 0.7660
Ba 0.7596 0.7188 0.7621
CELL_PARAMETERS angstrom
4.6639 0.0000 0.7664
2.2129 7.4086 1.1073
0.0097 0.0354 14.5154
```